Compound: PmZnRu
Source: the Alexandria database
Functional: PBE
Structure: relaxed

Uncorrected energy, eV/cell: -30.676
DFT formation energy, meV per atom: -13
N(E_F), states/eV/f.u.: 1.70
Excess energy over the best structure of this formula in the dataset, meV/atom: 248

Cell: 4.8550 4.8550 5.8395 Å, 90.00 90.00 120.00°
With the nearest neighbours (Å) after each atom.
Sites, in units of the cell vectors:
Pm: 0.3333 0.6667 0.2500  5 Ru 2.80-2.92
Pm: 0.6667 0.3333 0.7500  5 Ru 2.80-2.92
Zn: 0.0000 0.0000 0.0000  2 Zn 2.92, 6 Ru 3.16, 6 Pm 3.16
Zn: 0.0000 0.0000 0.5000  2 Zn 2.92, 6 Ru 3.16, 6 Pm 3.16
Ru: 0.3333 0.6667 0.7500  5 Pm 2.80-2.92
Ru: 0.6667 0.3333 0.2500  5 Pm 2.80-2.92